one.
An optimized crystal structure of Sc2FeCu. Source: Alexandria via LeMat-Bulk, functional PBE-GGA.

Calculated values
Magnetic moment (μB per formula unit): 0.1
Fermi-level density of states (states/eV/atom): 0.905
Symmetry: No. 123
Crystal system: tetragonal

abc: 4.4620 3.2364 4.4631
angles: 89.99 90.00 90.00
Each line ends with the local moment (μB).
Positions (direct):
Sc 0.0000 0.1252 0.8752  -0.02
Fe 0.5000 0.6251 0.8746  0.10
Sc 0.5000 0.1247 0.3751  -0.02
Cu 0.0000 0.6250 0.3752  0.00

two.
An optimized crystal structure of Sc2FeCu. Source: Alexandria via LeMat-Bulk, functional PBE-GGA.

Calculated values
Magnetic moment (μB per formula unit): 0.0
Fermi-level density of states (states/eV/atom): 0.679
Symmetry: No. 166
Crystal system: trigonal

abc: 9.2014 9.2014 9.2014
angles: 18.95 18.95 18.95
Positions (direct):
Fe 0.5000 0.5000 0.5000
Sc 0.0979 0.0979 0.0979
Cu 0.0000 0.0000 0.0000
Sc 0.9021 0.9021 0.9021

Most favorable first, least favorable last: one, two

one.
An optimized crystal structure of ScFe2Cu2. Source: Alexandria via LeMat-Bulk, functional PBE-GGA.

Calculated values
Magnetic moment (μB per formula unit): 4.4
Fermi-level density of states (states/eV/atom): 1.009
Symmetry: No. 127
Crystal system: tetragonal

abc: 7.1137 7.1137 2.7474
angles: 90.00 90.00 90.00
Each line ends with the local moment (μB).
Positions (direct):
Cu 0.6236 0.1236 0.0000  0.11
Sc 0.0000 0.0000 0.0000  -0.49
Fe 0.6718 0.8282 0.5000  2.46
Cu 0.1236 0.3764 0.0000  0.11
Fe 0.3282 0.1718 0.5000  2.46
Cu 0.3764 0.8764 0.0000  0.11
Cu 0.8764 0.6236 0.0000  0.11
Sc 0.5000 0.5000 0.0000  -0.49
Fe 0.8282 0.3282 0.5000  2.47
Fe 0.1718 0.6718 0.5000  2.47

two.
An optimized crystal structure of ScFe2Cu2. Source: Alexandria via LeMat-Bulk, functional PBE-GGA.

Calculated values
Magnetic moment (μB per formula unit): 4.1
Fermi-level density of states (states/eV/atom): 0.822
Symmetry: No. 127
Crystal system: tetragonal

abc: 7.1737 7.1737 2.6729
angles: 90.00 90.00 90.00
Each line ends with the local moment (μB).
Positions (direct):
Sc 0.5000 0.5000 0.0000  -0.49
Fe 0.3842 0.8842 0.0000  2.36
Sc 0.0000 0.0000 0.0000  -0.49
Cu 0.8219 0.3219 0.5000  0.07
Fe 0.6158 0.1158 0.0000  2.36
Cu 0.1781 0.6781 0.5000  0.07
Fe 0.1158 0.3842 0.0000  2.34
Cu 0.6781 0.8219 0.5000  0.07
Cu 0.3219 0.1781 0.5000  0.07
Fe 0.8842 0.6158 0.0000  2.34

three.
An optimized crystal structure of ScFe2Cu2. Source: Alexandria via LeMat-Bulk, functional PBE-GGA.

Calculated values
Magnetic moment (μB per formula unit): 3.7
Fermi-level density of states (states/eV/atom): 1.162
Symmetry: No. 139
Crystal system: tetragonal

abc: 3.6972 3.6972 5.9273
angles: 71.83 71.83 90.00
Each line ends with the local moment (μB).
Positions (direct):
Cu 0.2500 0.7500 0.5000  0.06
Sc 0.0000 0.0000 0.0000  -0.33
Fe 0.6011 0.6011 0.7977  2.05
Cu 0.7500 0.2500 0.5000  0.06
Fe 0.3989 0.3989 0.2023  2.05

Most favorable first, least favorable last: two, three, one

one.
An optimized crystal structure of Sc3FeCu. Source: Alexandria via LeMat-Bulk, functional PBE-GGA.

Calculated values
Magnetic moment (μB per formula unit): 0.0
Fermi-level density of states (states/eV/atom): 1.770
Symmetry: No. 221
Crystal system: cubic

abc: 4.8155 4.8155 4.8155
angles: 90.00 90.00 90.00
Positions (direct):
Fe 0.5000 0.5000 0.5000
Sc 0.5000 0.0000 0.0000
Sc 0.0000 0.5000 0.0000
Cu 0.0000 0.0000 0.0000
Sc 0.0000 0.0000 0.5000

two.
An optimized crystal structure of Sc3FeCu. Source: Alexandria via LeMat-Bulk, functional PBE-GGA.

Calculated values
Magnetic moment (μB per formula unit): 0.0
Fermi-level density of states (states/eV/atom): 0.859
Symmetry: No. 221
Crystal system: cubic

abc: 4.7609 4.7609 4.7609
angles: 90.00 90.00 90.00
Positions (direct):
Fe 0.0000 0.0000 0.0000
Sc 0.0000 0.5000 0.0000
Sc 0.0000 0.0000 0.5000
Cu 0.5000 0.5000 0.5000
Sc 0.5000 0.0000 0.0000

Most favorable first, least favorable last: two, one

one.
An optimized crystal structure of Sc8FeCu2. Source: Alexandria via LeMat-Bulk, functional PBE-GGA.

Calculated values
Magnetic moment (μB per formula unit): 0.0
Fermi-level density of states (states/eV/atom): 0.691
Symmetry: No. 71
Crystal system: orthorhombic

abc: 4.7126 7.7296 7.5230
angles: 120.91 108.24 90.00
Positions (direct):
Cu 0.7937 0.2936 0.5873
Sc 0.6511 0.4247 0.3022
Sc 0.0000 0.3356 0.0001
Sc 0.6511 0.8774 0.3021
Sc 0.3489 0.1226 0.6979
Sc 0.3489 0.5753 0.6978
Sc 0.1262 0.1262 0.2524
Sc 0.0000 0.6644 0.9999
Fe 0.5000 0.0000 0.0000
Cu 0.2063 0.7064 0.4127
Sc 0.8738 0.8738 0.7476

two.
An optimized crystal structure of Sc8FeCu2. Source: Alexandria via LeMat-Bulk, functional PBE-GGA.

Calculated values
Magnetic moment (μB per formula unit): 0.0
Fermi-level density of states (states/eV/atom): 0.683
Symmetry: No. 12
Crystal system: monoclinic

abc: 4.7595 6.2329 8.2118
angles: 108.26 106.85 90.00
Positions (direct):
Sc 0.6640 0.9673 0.3281
Fe 0.5000 0.0000 0.0000
Sc 0.9709 0.2037 0.9417
Cu 0.8179 0.2966 0.6358
Cu 0.1821 0.7034 0.3642
Sc 0.3360 0.0327 0.6719
Sc 0.5934 0.4333 0.1868
Sc 0.8049 0.6986 0.6099
Sc 0.1951 0.3014 0.3901
Sc 0.4066 0.5667 0.8132
Sc 0.0291 0.7963 0.0583

Most favorable first, least favorable last: two, one

one.
An optimized crystal structure of Sc4FeCu. Source: Alexandria via LeMat-Bulk, functional PBE-GGA.

Calculated values
Magnetic moment (μB per formula unit): 0.0
Fermi-level density of states (states/eV/atom): 0.778
Symmetry: No. 123
Crystal system: tetragonal

abc: 3.1764 3.1764 11.5322
angles: 90.00 90.00 90.00
Positions (direct):
Sc 0.0001 0.0001 0.3573
Sc 0.9999 0.9999 0.6427
Sc 0.5001 0.5001 0.1287
Fe 0.0000 0.0000 0.0000
Cu 0.5000 0.5000 0.5000
Sc 0.4999 0.4999 0.8713

two.
An optimized crystal structure of Sc4FeCu. Source: Alexandria via LeMat-Bulk, functional PBE-GGA.

Calculated values
Magnetic moment (μB per formula unit): 2.0
Fermi-level density of states (states/eV/atom): 1.485
Symmetry: No. 216
Crystal system: cubic

abc: 5.5879 5.5879 5.5879
angles: 60.00 60.00 60.00
Each line ends with the local moment (μB).
Positions (direct):
Sc 0.8764 0.3745 0.3745  -0.11
Sc 0.3745 0.3745 0.3745  -0.11
Fe 0.0000 0.0000 0.0000  2.85
Sc 0.3745 0.3745 0.8764  -0.11
Sc 0.3745 0.8764 0.3745  -0.11
Cu 0.7500 0.7500 0.7500  0.01

Most favorable first, least favorable last: one, two

one.
An optimized crystal structure of Fe3CuSe. Source: Alexandria via LeMat-Bulk, functional PBE-GGA.

Calculated values
Magnetic moment (μB per formula unit): 9.0
Fermi-level density of states (states/eV/atom): 1.272
Symmetry: No. 221
Crystal system: cubic

abc: 4.4144 4.4144 4.4144
angles: 90.00 90.00 90.00
Each line ends with the local moment (μB).
Positions (direct):
Cu 0.0000 0.0000 0.0000  0.21
Fe 0.5000 0.0000 0.0000  2.45
Se 0.5000 0.5000 0.5000  0.07
Fe 0.0000 0.0000 0.5000  3.32
Fe 0.0000 0.5000 0.0000  2.96

two.
An optimized crystal structure of Fe3CuSe. Source: Alexandria via LeMat-Bulk, functional PBE-GGA.

Calculated values
Magnetic moment (μB per formula unit): 6.8
Fermi-level density of states (states/eV/atom): 1.085
Symmetry: No. 221
Crystal system: cubic

abc: 4.3565 4.3565 4.3565
angles: 90.00 90.00 90.00
Each line ends with the local moment (μB).
Positions (direct):
Fe 0.5000 0.0000 0.0000  2.45
Cu 0.5000 0.5000 0.5000  0.04
Fe 0.0000 0.0000 0.5000  2.28
Se 0.0000 0.0000 0.0000  -0.04
Fe 0.0000 0.5000 0.0000  2.31

Most favorable first, least favorable last: two, one

one.
An optimized crystal structure of FeCuSe. Source: Alexandria via LeMat-Bulk, functional PBE-GGA.

Calculated values
Magnetic moment (μB per formula unit): 2.5
Fermi-level density of states (states/eV/atom): 0.859
Symmetry: No. 38
Crystal system: orthorhombic

abc: 3.0500 3.0447 11.3575
angles: 90.00 90.00 120.06
Each line ends with the local moment (μB).
Positions (direct):
Cu 0.7750 0.5499 0.6625  0.06
Fe 0.4477 0.8954 0.0000  2.00
Se 0.1146 0.2291 0.8524  -0.03
Fe 0.4398 0.8797 0.5000  2.89
Cu 0.7750 0.5499 0.3375  0.06
Se 0.1146 0.2291 0.1476  -0.03

two.
An optimized crystal structure of FeCuSe. Source: Alexandria via LeMat-Bulk, functional PBE-GGA.

Calculated values
Magnetic moment (μB per formula unit): 1.0
Fermi-level density of states (states/eV/atom): 0.639
Symmetry: No. 107
Crystal system: tetragonal

abc: 4.8315 4.8315 4.8315
angles: 142.86 142.86 53.54
Each line ends with the local moment (μB).
Positions (direct):
Se 0.6916 0.6916 0.0000  -0.05
Fe 0.3136 0.3136 0.0000  1.21
Cu 0.9948 0.9948 0.0000  -0.06

three.
An optimized crystal structure of FeCuSe. Source: Alexandria via LeMat-Bulk, functional PBE-GGA.

Calculated values
Magnetic moment (μB per formula unit): 0.0
Fermi-level density of states (states/eV/atom): 1.103
Symmetry: No. 129
Crystal system: tetragonal

abc: 3.8686 3.8686 5.5956
angles: 90.00 90.00 90.00
Positions (direct):
Se 0.0000 0.5000 0.2511
Se 0.5000 0.0000 0.7489
Cu 0.0000 0.5000 0.8155
Fe 0.0000 0.0000 0.5000
Fe 0.5000 0.5000 0.5000
Cu 0.5000 0.0000 0.1845

Most favorable first, least favorable last: three, two, one

one.
An optimized crystal structure of FeCu3Se. Source: Alexandria via LeMat-Bulk, functional PBE-GGA.

Calculated values
Magnetic moment (μB per formula unit): 3.1
Fermi-level density of states (states/eV/atom): 0.949
Symmetry: No. 221
Crystal system: cubic

abc: 4.5143 4.5143 4.5143
angles: 90.00 90.00 90.00
Each line ends with the local moment (μB).
Positions (direct):
Cu 0.5000 0.0000 0.0000  0.04
Se 0.0000 0.0000 0.0000  0.04
Cu 0.0000 0.0000 0.5000  -0.01
Cu 0.0000 0.5000 0.0000  0.01
Fe 0.5000 0.5000 0.5000  3.17

two.
An optimized crystal structure of FeCu3Se. Source: Alexandria via LeMat-Bulk, functional PBE-GGA.

Calculated values
Magnetic moment (μB per formula unit): 3.0
Fermi-level density of states (states/eV/atom): 0.250
Symmetry: No. 221
Crystal system: cubic

abc: 4.4773 4.4773 4.4773
angles: 90.00 90.00 90.00
Each line ends with the local moment (μB).
Positions (direct):
Cu 0.5000 0.0000 0.0000  0.03
Cu 0.0000 0.0000 0.5000  0.21
Cu 0.0000 0.5000 0.0000  0.12
Fe 0.0000 0.0000 0.0000  2.58
Se 0.5000 0.5000 0.5000  0.12

Most favorable first, least favorable last: one, two

one.
An optimized crystal structure of TaFeCuSi. Source: Alexandria via LeMat-Bulk, functional PBE-GGA.

Calculated values
Magnetic moment (μB per formula unit): 0.0
Fermi-level density of states (states/eV/atom): 0.891
Symmetry: No. 99
Crystal system: tetragonal

abc: 2.8142 2.8142 6.5813
angles: 90.00 90.00 90.00
Positions (direct):
Si 0.5000 0.5000 0.8583
Ta 0.5000 0.5000 0.3177
Cu 0.0000 0.0000 0.6236
Fe 0.0000 0.0000 0.0383

two.
An optimized crystal structure of TaFeCuSi. Source: Alexandria via LeMat-Bulk, functional PBE-GGA.

Calculated values
Magnetic moment (μB per formula unit): 0.5
Fermi-level density of states (states/eV/atom): 0.359
Symmetry: No. 44
Crystal system: orthorhombic

abc: 4.1539 3.2790 7.8236
angles: 90.00 90.00 90.00
Each line ends with the local moment (μB).
Positions (direct):
Ta 0.0000 0.0000 0.8224  -0.15
Fe 0.0000 0.5000 0.5681  0.79
Si 0.0000 0.5000 0.0837  -0.01
Cu 0.0000 0.0000 0.3016  -0.02
Cu 0.5000 0.5000 0.8016  -0.02
Si 0.5000 0.0000 0.5837  -0.01
Ta 0.5000 0.5000 0.3224  -0.15
Fe 0.5000 0.0000 0.0681  0.79

three.
An optimized crystal structure of TaFeCuSi. Source: Alexandria via LeMat-Bulk, functional PBE-GGA.

Calculated values
Magnetic moment (μB per formula unit): 1.3
Fermi-level density of states (states/eV/atom): 0.728
Symmetry: No. 44
Crystal system: orthorhombic

abc: 4.2262 3.0247 9.4601
angles: 90.00 116.53 90.00
Each line ends with the local moment (μB).
Positions (direct):
Fe 0.4489 0.0000 0.1227  1.35
Si 0.6606 0.0000 0.8345  0.01
Ta 0.9218 0.0000 0.5956  -0.06
Si 0.6606 0.5000 0.3345  0.01
Cu 0.1922 0.0000 0.3661  0.00
Cu 0.1922 0.5000 0.8661  0.00
Ta 0.9218 0.5000 0.0956  -0.06
Fe 0.4489 0.5000 0.6227  1.35

Most favorable first, least favorable last: one, two, three

one.
An optimized crystal structure of TaFeCuSi. Source: Alexandria via LeMat-Bulk, functional PBE-GGA.

Calculated values
Magnetic moment (μB per formula unit): 0.0
Fermi-level density of states (states/eV/atom): 0.057
Symmetry: No. 22
Crystal system: orthorhombic

abc: 6.1162 5.8354 5.8230
angles: 90.00 90.00 90.00
Positions (direct):
Cu 0.0000 0.5000 0.5000
Ta 0.2500 0.2500 0.2500
Ta 0.7500 0.2500 0.7500
Si 0.2500 0.7500 0.2500
Si 0.2500 0.2500 0.7500
Ta 0.7500 0.7500 0.2500
Ta 0.2500 0.7500 0.7500
Cu 0.0000 0.0000 0.0000
Fe 0.0000 0.5000 0.0000
Cu 0.5000 0.0000 0.5000
Fe 0.5000 0.0000 0.0000
Fe 0.5000 0.5000 0.5000
Si 0.7500 0.7500 0.7500
Si 0.7500 0.2500 0.2500
Cu 0.5000 0.5000 0.0000
Fe 0.0000 0.0000 0.5000

two.
An optimized crystal structure of TaFeCuSi. Source: Alexandria via LeMat-Bulk, functional PBE-GGA.

Calculated values
Magnetic moment (μB per formula unit): 2.0
Fermi-level density of states (states/eV/atom): 0.529
Symmetry: No. 6
Crystal system: monoclinic

abc: 2.7705 3.9586 5.0913
angles: 90.00 101.95 90.00
Each line ends with the local moment (μB).
Positions (direct):
Fe 0.0752 0.5000 0.9469  2.13
Cu 0.7637 0.5000 0.4121  0.01
Si 0.7030 0.0000 0.1551  -0.01
Ta 0.3548 0.0000 0.6480  -0.04

Most favorable first, least favorable last: one, two

one.
An optimized crystal structure of TaFeCuSi. Source: Alexandria via LeMat-Bulk, functional PBE-GGA.

Calculated values
Magnetic moment (μB per formula unit): 0.0
Fermi-level density of states (states/eV/atom): 0.711
Symmetry: No. 38
Crystal system: orthorhombic

abc: 3.7630 2.9469 9.8730
angles: 90.00 90.00 90.00
Positions (direct):
Si 0.0000 0.0000 0.8974
Ta 0.0000 0.5000 0.6611
Fe 0.5000 0.0000 0.7575
Cu 0.5000 0.5000 0.9912
Si 0.0000 0.5000 0.3974
Fe 0.5000 0.5000 0.2575
Cu 0.5000 0.0000 0.4912
Ta 0.0000 0.0000 0.1611

two.
An optimized crystal structure of TaFeCuSi. Source: Alexandria via LeMat-Bulk, functional PBE-GGA.

Calculated values
Magnetic moment (μB per formula unit): 0.0
Fermi-level density of states (states/eV/atom): 0.545
Symmetry: No. 160
Crystal system: trigonal

abc: 3.9501 3.9501 12.5293
angles: 90.00 90.00 120.00
Positions (direct):
Fe 0.3333 0.6667 0.3110
Cu 0.3333 0.6667 0.1019
Fe 0.0000 0.0000 0.6443
Cu 0.6667 0.3333 0.7685
Si 0.0000 0.0000 0.0073
Ta 0.6667 0.3333 0.5553
Ta 0.0000 0.0000 0.2219
Ta 0.3333 0.6667 0.8886
Si 0.3333 0.6667 0.6740
Si 0.6667 0.3333 0.3407
Cu 0.0000 0.0000 0.4352
Fe 0.6667 0.3333 0.9776

Most favorable first, least favorable last: two, one